(1)
VASP calculation (PBE) on crystalline Cs2Tb3Se6 at its relaxed geometry.

Lattice parameters (Å, degrees): 7.2497 7.2497 8.9656 97.74 97.74 120.01
Last column: nearest neighbours and their distance in Å.
Element x y z (fractional)
Cs 0.1667 0.8333 0.0000  6 Se 3.64
Cs 0.8333 0.1667 0.0000  6 Se 3.64
Tb 0.0000 0.0000 0.5000  6 Se 2.89
Tb 0.3334 0.6666 0.5000  6 Se 2.89-2.90
Tb 0.6666 0.3334 0.5000  6 Se 2.89-2.90
Se 0.0617 0.3948 0.6843  3 Tb 2.89-2.90
Se 0.2723 0.2723 0.3159  3 Tb 2.89
Se 0.3948 0.0617 0.6843  3 Tb 2.89-2.90
Se 0.6052 0.9383 0.3157  3 Tb 2.89-2.90
Se 0.7277 0.7277 0.6841  3 Tb 2.89
Se 0.9383 0.6052 0.3157  3 Tb 2.89-2.90

## Properties
- energy relative to the elements, uncorrected (eV/atom) = -1.65
- total magnetization (μB per formula unit) = 0.00


(2)
VASP calculation (PBE) on crystalline CsTb2Se3 at its relaxed geometry.

Lattice parameters (Å, degrees): 8.5702 8.5702 11.1541 90.00 90.00 148.55
Last column: nearest neighbours and their distance in Å.
Element x y z (fractional)
Cs 0.2423 0.7577 0.7500  8 Se 3.78-4.06
Cs 0.7577 0.2423 0.2500  8 Se 3.78-4.06
Tb 0.0260 0.9740 0.2500  4 Se 2.73-2.74
Tb 0.5000 0.5000 0.0000  6 Se 2.97-3.02
Tb 0.5000 0.5000 0.5000  6 Se 2.97-3.02
Tb 0.9740 0.0260 0.7500  4 Se 2.73-2.74
Se 0.1132 0.8868 0.0418  3 Tb 2.73-3.02
Se 0.1132 0.8868 0.4582  3 Tb 2.73-3.02
Se 0.4385 0.5615 0.2500  4 Tb 2.74-2.97
Se 0.5615 0.4385 0.7500  4 Tb 2.74-2.97
Se 0.8868 0.1132 0.5418  3 Tb 2.73-3.02
Se 0.8868 0.1132 0.9582  3 Tb 2.73-3.02

## Properties
- energy relative to the elements, uncorrected (eV/atom) = -1.56
- offset from the most stable computed form (meV per atom) = 42.3
- total magnetization (μB per formula unit) = 0.00


(3)
VASP calculation (PBE) on crystalline Cs3TbTh2Se6 at its relaxed geometry.

Lattice parameters (Å, degrees): 7.4382 7.4382 8.8332 98.07 98.07 120.00
Last column: nearest neighbours and their distance in Å.
Element x y z (fractional)
Cs 0.0000 0.0000 0.0000  6 Se 3.59-3.61
Cs 0.3328 0.6672 0.0000  6 Se 3.59-3.61
Cs 0.6672 0.3328 0.0000  6 Se 3.59-3.61
Tb 0.5000 0.5000 0.5000  6 Se 2.95
Th 0.1666 0.8334 0.5000  6 Se 2.98
Th 0.8334 0.1666 0.5000  6 Se 2.98
Se 0.1054 0.4360 0.3079  1 Tb 2.95, 2 Th 2.98
Se 0.2337 0.2337 0.6925  1 Tb 2.95, 2 Th 2.98
Se 0.4360 0.1054 0.3079  1 Tb 2.95, 2 Th 2.98
Se 0.5640 0.8946 0.6921  1 Tb 2.95, 2 Th 2.98
Se 0.7663 0.7663 0.3075  1 Tb 2.95, 2 Th 2.98
Se 0.8946 0.5640 0.6921  1 Tb 2.95, 2 Th 2.98

## Properties
- energy relative to the elements, uncorrected (eV/atom) = -1.59
- total magnetization (μB per formula unit) = 0.00


- Look up the total magnetization of the first one.
  0.00 μB per formula unit